Record 1
! YBeIn (PBE, relaxed); values from VASP
! D(E_F), states/eV/f.u.: 2.4
! Formation enthalpy at 0 K, kJ/mol of atoms: -15.9
! Space-group type: Imm2, No. 44
! E above lowest polymorph, kJ per mole of atoms: 9.89
! Total energy, eV/atom: -4.475
&SYSTEM
  ibrav = 0, nat = 6, ntyp = 3
/
ATOMIC_SPECIES
Y 88.91 Y.upf
Be 9.01 Be.upf
In 114.82 In.upf
CELL_PARAMETERS angstrom
8.256 -0.023 0.004
-1.070 4.089 0.000
-0.964 -0.252 3.855
ATOMIC_POSITIONS angstrom
Y 3.864 3.555 0.894
Y -0.192 2.494 1.869
Be 1.719 0.810 0.176
Be 7.020 0.010 3.511
In 5.272 1.737 3.186
In 2.579 1.035 2.464

---

Record 2
! ZrSc5 (PBE, relaxed); values from VASP
! D(E_F), states/eV/f.u.: 10.7
! Formation enthalpy at 0 K, kJ/mol of atoms: -1.1
! Space-group type: Cm, No. 8
! E above lowest polymorph, kJ per mole of atoms: 0.00
! Total energy, eV/atom: -6.712
&SYSTEM
  ibrav = 0, nat = 6, ntyp = 2
/
ATOMIC_SPECIES
Sc 44.96 Sc.upf
Zr 91.22 Zr.upf
CELL_PARAMETERS angstrom
-2.190 1.556 -1.892
-0.761 -5.964 -1.169
-5.591 -1.933 4.882
ATOMIC_POSITIONS angstrom
Sc -5.591 -1.941 4.875
Sc -5.484 -5.402 1.905
Sc -5.465 -2.254 1.618
Sc -2.374 -1.370 1.622
Sc -3.080 -4.081 0.208
Zr -2.234 -1.616 -1.597

---

Record 3
! BiP2RuSe (PBE, relaxed); values from VASP
! D(E_F), states/eV/f.u.: 5.3
! Space-group type: P4/mmm, No. 123
! Formation energy without anion corrections, eV/atom: 0.986
! Total energy, eV/atom: -4.506
&SYSTEM
  ibrav = 0, nat = 5, ntyp = 4
/
ATOMIC_SPECIES
Ru 101.07 Ru.upf
Bi 208.98 Bi.upf
Se 78.96 Se.upf
P 30.97 P.upf
CELL_PARAMETERS angstrom
-3.551 1.875 2.778
-3.107 -2.442 -2.322
0.530 -3.682 3.163
ATOMIC_POSITIONS angstrom
Ru -1.553 -1.221 -1.161
Bi -3.064 -2.125 1.810
Se 0.000 0.000 0.000
P 0.265 -1.841 1.581
P -1.775 0.938 1.389

---

Record 4
! SmAg3Te3 (PBE, relaxed); values from VASP
! Space-group type: R-3, No. 148
! Formation energy without anion corrections, eV/atom: -0.565
! Total energy, eV/atom: -3.807
&SYSTEM
  ibrav = 0, nat = 14, ntyp = 3
/
ATOMIC_SPECIES
Sm 150.36 Sm.upf
Ag 107.87 Ag.upf
Te 127.60 Te.upf
CELL_PARAMETERS angstrom
7.924 0.000 0.000
3.962 6.862 0.000
3.962 2.287 7.347
ATOMIC_POSITIONS angstrom
Sm 7.924 4.575 7.344
Sm 7.924 4.575 0.004
Ag 9.344 6.682 4.551
Ag 9.039 2.292 4.551
Ag 5.389 4.751 4.551
Ag 10.459 4.399 2.796
Ag 6.809 6.858 2.796
Ag 6.504 2.468 2.796
Te 5.215 4.675 1.655
Te 9.192 2.179 1.655
Te 9.365 6.871 1.655
Te 6.483 2.279 5.693
Te 6.656 6.971 5.693
Te 10.633 4.475 5.693

---

Record 5
! CaInS2O8 (PBE, relaxed); values from VASP
! D(E_F), states/eV/f.u.: 3.1
! Space-group type: R-3, No. 148
! Formation energy without anion corrections, eV/atom: -1.635
! Total energy, eV/atom: -6.023
&SYSTEM
  ibrav = 0, nat = 12, ntyp = 4
/
ATOMIC_SPECIES
Ca 40.08 Ca.upf
In 114.82 In.upf
S 32.06 S.upf
O 16.00 O.upf
CELL_PARAMETERS angstrom
-2.469 3.981 1.830
-3.635 -0.647 3.414
2.747 1.687 6.948
ATOMIC_POSITIONS angstrom
Ca -1.678 2.510 6.096
In 0.000 0.000 0.000
S -0.711 1.270 3.187
S -2.646 3.750 9.005
O 0.290 1.391 4.276
O -1.848 2.206 3.469
O -3.647 3.629 7.916
O -3.676 3.837 4.970
O 0.319 1.183 7.222
O -3.693 0.984 5.301
O 0.336 4.037 6.891
O -1.509 2.814 8.723

---

Record 6
! Tm2Ga9Pd3 (PBE, relaxed); values from VASP
! D(E_F), states/eV/f.u.: 5.5
! Formation enthalpy at 0 K, kJ/mol of atoms: -55.7
! Space-group type: C2/c, No. 15
! Total energy, eV/atom: -4.275
&SYSTEM
  ibrav = 0, nat = 28, ntyp = 3
/
ATOMIC_SPECIES
Tm 168.93 Tm.upf
Ga 69.72 Ga.upf
Pd 106.42 Pd.upf
CELL_PARAMETERS angstrom
-5.696 -0.269 5.134
0.298 -5.168 -5.662
8.958 -3.856 3.981
ATOMIC_POSITIONS angstrom
Tm 4.885 -4.265 3.282
Tm -1.324 -5.029 0.171
Tm 6.902 -5.917 -0.317
Tm -3.341 -3.377 3.770
Ga 4.367 -7.755 0.143
Ga -0.806 -1.539 3.310
Ga 3.131 -6.748 2.402
Ga 0.430 -2.546 1.051
Ga 5.906 -6.969 2.340
Ga -2.345 -2.325 1.112
Ga 4.107 -5.000 0.451
Ga -0.547 -4.294 3.002
Ga 1.772 -3.774 6.770
Ga 1.788 -5.520 -3.318
Ga 7.907 -8.660 -1.214
Ga -4.347 -0.634 4.667
Ga 2.056 -3.359 4.000
Ga 1.505 -5.935 -0.547
Ga 0.391 -6.912 1.999
Ga 3.170 -2.382 1.454
Ga 3.900 -5.353 5.923
Ga -0.339 -3.941 -2.470
Pd -2.848 -0.135 2.567
Pd 1.780 -4.647 1.726
Pd -0.251 -3.024 5.341
Pd 3.812 -6.270 -1.889
Pd -0.858 -1.800 -1.053
Pd 4.419 -7.494 4.505